(1)
## KCoIN2 (PBE)

Data for a relaxed structure of KCoIN2.

a b c (Å): 5.995 5.995 8.331
angles (deg): 90.00 90.00 90.00
Element x y z (fractional)
K: 0.000 0.000 0.000
Co: 0.500 0.500 0.500
I: 0.000 0.000 0.500
N: 0.000 0.500 0.000
N: 0.500 0.000 0.000

The space-group type is P4/mmm, No. 123. The uncorrected formation energy comes out at 2.50 eV/atom. The theoretical density is 1.40 g/cm³. The value obtained for the offset from the most stable computed form is 32.68 kcal/mol of atoms. The magnetization is 2.41 μB per formula unit.

=====

(2)
## KCoIN2 (PBE)

Data for a relaxed structure of KCoIN2.

a b c (Å): 4.051 4.051 5.513
angles (deg): 90.00 90.00 90.00
Element x y z (fractional)
K: 0.000 0.000 0.000
Co: 0.500 0.500 0.500
I: 0.500 0.500 0.000
N: 0.000 0.500 0.500
N: 0.500 0.000 0.500

The space-group type is P4/mmm, No. 123. The uncorrected formation energy comes out at 1.09 eV/atom. The theoretical density is 4.64 g/cm³. The value obtained for the offset from the most stable computed form is 0.00 kcal/mol of atoms. The magnetization is 0.25 μB per formula unit.

=====

(3)
## KNaCoI4 (PBE)

Data for a relaxed structure of KNaCoI4.

a b c (Å): 7.600 8.200 9.454
angles (deg): 90.00 107.35 90.00
Element x y z (fractional)
K: 0.235 0.250 0.058
K: 0.765 0.750 0.942
Na: 0.232 0.250 0.559
Na: 0.768 0.750 0.441
Co: 0.224 0.750 0.316
Co: 0.776 0.250 0.684
I: 0.002 0.503 0.269
I: 0.002 0.997 0.269
I: 0.418 0.750 0.134
I: 0.436 0.750 0.584
I: 0.564 0.250 0.416
I: 0.582 0.250 0.866
I: 0.998 0.003 0.731
I: 0.998 0.497 0.731

The space-group type is P2_1/m, No. 11. The uncorrected formation energy comes out at -0.77 eV/atom. The theoretical density is 3.71 g/cm³. The magnetization is 3.00 μB per formula unit.

=====

Q: Look up the magnetization of the second one.
A: 0.25 μB per formula unit

=====

Q: uncorrected formation energy of number 1 (KCoIN2)?
A: 2.50 eV/atom

=====

Q: The lowest magnetization belongs to which entry?
A: number 2

=====

Q: Which value of magnetization does entry 2 give?
A: 0.25 μB per formula unit